No. 1
Nd2Ga5Ir3: relaxed, GGA-PBE.

Space-group type ... Ibam, No. 72

Unit cell a=8.653 b=8.653 c=8.653 alpha=108.62 beta=84.61 gamma=140.77
Sites, in units of the cell vectors:
Nd: 0.138 0.229 0.366
Nd: 0.362 0.729 0.091
Nd: 0.638 0.271 0.909
Nd: 0.862 0.771 0.634
Ga: 0.044 0.750 0.294
Ga: 0.090 0.671 0.762
Ga: 0.250 0.250 0.000
Ga: 0.410 0.171 0.581
Ga: 0.456 0.750 0.706
Ga: 0.544 0.250 0.294
Ga: 0.590 0.829 0.419
Ga: 0.750 0.750 0.000
Ga: 0.910 0.329 0.238
Ga: 0.956 0.250 0.706
Ir: 0.148 0.905 0.054
Ir: 0.250 0.750 0.500
Ir: 0.352 0.405 0.757
Ir: 0.648 0.595 0.243
Ir: 0.750 0.250 0.500
Ir: 0.852 0.095 0.946



No. 2
KP2Ir2: relaxed, GGA-PBE.

Space-group type ... I4/mmm, No. 139

Unit cell a=7.168 b=7.168 c=7.168 alpha=147.94 beta=147.94 gamma=45.97
Sites, in units of the cell vectors:
K: 0.000 0.000 0.000
P: 0.347 0.347 0.000
P: 0.653 0.653 0.000
Ir: 0.250 0.750 0.500
Ir: 0.750 0.250 0.500



No. 3
LiYHgSe3: relaxed, GGA-PBE.

Distance to the lowest polymorph of the same formula ... 49 kJ/mol of formula units
Space-group type ... Cmcm, No. 63

Unit cell a=6.952 b=6.952 c=11.146 alpha=90.00 beta=90.00 gamma=145.87
Sites, in units of the cell vectors:
Li: 0.232 0.768 0.750
Li: 0.768 0.232 0.250
Y: 0.000 0.000 0.000
Y: 0.000 0.000 0.500
Hg: 0.472 0.528 0.250
Hg: 0.528 0.472 0.750
Se: 0.105 0.895 0.250
Se: 0.355 0.645 0.060
Se: 0.355 0.645 0.440
Se: 0.645 0.355 0.560
Se: 0.645 0.355 0.940
Se: 0.895 0.105 0.750



No. 4
Nd2GaGe: relaxed, GGA-PBE.

Space-group type ... P2_1/m, No. 11

Unit cell a=6.054 b=4.111 c=8.768 alpha=90.00 beta=108.21 gamma=90.00
Sites, in units of the cell vectors:
Nd: 0.208 0.250 0.429
Nd: 0.287 0.750 0.069
Nd: 0.713 0.250 0.931
Nd: 0.792 0.750 0.571
Ga: 0.363 0.750 0.713
Ga: 0.637 0.250 0.287
Ge: 0.139 0.250 0.788
Ge: 0.861 0.750 0.212



No. 5
Zr3BP: relaxed, GGA-PBE.

Space-group type ... Cmcm, No. 63

Unit cell a=5.755 b=5.755 c=8.947 alpha=90.00 beta=90.00 gamma=143.82
Sites, in units of the cell vectors:
Zr: 0.066 0.934 0.750
Zr: 0.362 0.638 0.557
Zr: 0.362 0.638 0.943
Zr: 0.638 0.362 0.057
Zr: 0.638 0.362 0.443
Zr: 0.934 0.066 0.250
B: 0.000 0.000 0.000
B: 0.000 0.000 0.500
P: 0.250 0.750 0.250
P: 0.750 0.250 0.750



No. 6
Tc2B2O5: relaxed, GGA-PBE.

Distance to the lowest polymorph of the same formula ... 0 kJ/mol of formula units
Space-group type ... P4/mmm, No. 123

Unit cell a=3.364 b=3.364 c=6.678 alpha=90.00 beta=90.00 gamma=90.00
Sites, in units of the cell vectors:
Tc: 0.000 0.000 0.000
Tc: 0.000 0.000 0.500
B: 0.500 0.500 0.224
B: 0.500 0.500 0.776
O: 0.000 0.500 0.303
O: 0.000 0.500 0.697
O: 0.500 0.000 0.303
O: 0.500 0.000 0.697
O: 0.500 0.500 0.000



Number 1: final energy -58.7 eV/f.u.. Number 2: final energy -32.8 eV/f.u.. Number 3: final energy -25.4 eV/f.u.. Number 4: final energy -20.2 eV/f.u.. Number 5: final energy -42.1 eV/f.u.. Number 6: final energy -62.4 eV/f.u..